Entry from Alexandria via LeMat-Bulk: crystalline TlTe2As at its relaxed geometry (PBE).

Computed properties:
* total magnetization: 0.00 μB per cell
* formation energy without anion corrections: -0.1209 eV per atom

```
TlTe2As
1.0
2.117 1.222 8.153
-2.117 1.222 8.153
0.000 -2.445 8.153
Tl Te As
1 2 1
direct
0.000 0.000 0.000 Tl
0.571 0.571 0.571 Te
0.772 0.772 0.772 Te
0.170 0.170 0.170 As
```

---

Entry from Alexandria via LeMat-Bulk: crystalline Pm6Dy8Tm at its relaxed geometry (PBE).

Computed properties:
* formation energy from the elements: 1.8 eV/f.u.
* total magnetization: 0.00 μB per cell
* DOS(E_F): 1.439 states/eV per atom

```
Pm6Dy8Tm
1.0
4.549 2.626 6.923
-4.549 2.626 6.923
0.000 -5.253 6.923
Pm Dy Tm
6 8 1
direct
0.039 0.603 0.729 Pm
0.271 0.961 0.397 Pm
0.397 0.271 0.961 Pm
0.603 0.729 0.039 Pm
0.729 0.039 0.603 Pm
0.961 0.397 0.271 Pm
0.077 0.077 0.077 Dy
0.219 0.612 0.248 Dy
0.248 0.219 0.612 Dy
0.388 0.752 0.781 Dy
0.612 0.248 0.219 Dy
0.752 0.781 0.388 Dy
0.781 0.388 0.752 Dy
0.923 0.923 0.923 Dy
0.500 0.500 0.500 Tm
```

---

What did the first record say?
Entry from Alexandria via LeMat-Bulk: crystalline TlTe2As at its relaxed geometry (PBE).

Computed properties:
* total magnetization: 0.00 μB per cell
* formation energy without anion corrections: -0.1209 eV per atom

```
TlTe2As
1.0
2.117 1.222 8.153
-2.117 1.222 8.153
0.000 -2.445 8.153
Tl Te As
1 2 1
direct
0.000 0.000 0.000 Tl
0.571 0.571 0.571 Te
0.772 0.772 0.772 Te
0.170 0.170 0.170 As
```

---

total magnetization of number 1 (TlTe2As)?
0.00 μB per cell

---

Number 1 is which compound?
TlTe2As